1:
# TiSb2I

A geometry-optimized TiSb2I structure (PBE-GGA, Alexandria via LeMat-Bulk).

Lattice parameters (Å, degrees): 9.700 9.700 9.700 145.37 145.37 49.79
Sites, in units of the cell vectors:
Ti: 0.000 0.000 0.000
Ti: 0.750 0.250 0.500
Sb: 0.375 0.229 0.354
Sb: 0.771 0.125 0.146
Sb: 0.875 0.021 0.646
Sb: 0.979 0.625 0.854
I: 0.250 0.750 0.500
I: 0.500 0.500 0.000

Summary:
magnetization	0.37	μB/f.u.

---

2:
# TiSb2I

A geometry-optimized TiSb2I structure (PBE-GGA, Alexandria via LeMat-Bulk).

Lattice parameters (Å, degrees): 5.258 5.258 5.258 60.00 60.00 60.00
Sites, in units of the cell vectors:
Ti: 0.000 0.000 0.000
Sb: 0.250 0.250 0.250
Sb: 0.750 0.750 0.750
I: 0.500 0.500 0.500

Summary:
magnetization	1.23	μB/f.u.

---

The structure with the greatest stability is 1.

---

1:
# Ti2SbI

A geometry-optimized Ti2SbI structure (PBE-GGA, Alexandria via LeMat-Bulk).

Lattice parameters (Å, degrees): 8.545 8.545 8.545 140.62 140.62 56.92
Sites, in units of the cell vectors:
Ti: 0.114 0.625 0.989
Ti: 0.375 0.364 0.489
Ti: 0.636 0.125 0.011
Ti: 0.875 0.886 0.511
Sb: 0.000 0.000 0.000
Sb: 0.750 0.250 0.500
I: 0.250 0.750 0.500
I: 0.500 0.500 0.000

Summary:
magnetization	4.00	μB/f.u.

---

2:
# Ti2SbI

A geometry-optimized Ti2SbI structure (PBE-GGA, Alexandria via LeMat-Bulk).

Lattice parameters (Å, degrees): 4.871 4.871 4.871 60.00 60.00 60.00
Sites, in units of the cell vectors:
Ti: 0.250 0.250 0.250
Ti: 0.750 0.750 0.750
Sb: 0.000 0.000 0.000
I: 0.500 0.500 0.500

Summary:
magnetization	0.00	μB/f.u.

---

The structure with the greatest stability is 2.

---

1:
# TiZnSbI2

A geometry-optimized TiZnSbI2 structure (PBE-GGA, Alexandria via LeMat-Bulk).

Lattice parameters (Å, degrees): 5.493 5.493 5.480 90.00 90.00 90.00
Sites, in units of the cell vectors:
Ti: 0.000 0.000 0.000
Zn: 0.500 0.500 0.500
Sb: 0.000 0.000 0.500
I: 0.000 0.500 0.000
I: 0.500 0.000 0.000

Summary:
magnetization	0.00	μB/f.u.

---

2:
# TiZnSbI2

A geometry-optimized TiZnSbI2 structure (PBE-GGA, Alexandria via LeMat-Bulk).

Lattice parameters (Å, degrees): 5.422 5.422 5.335 90.00 90.00 90.00
Sites, in units of the cell vectors:
Ti: 0.000 0.000 0.000
Zn: 0.500 0.500 0.500
Sb: 0.500 0.500 0.000
I: 0.000 0.500 0.500
I: 0.500 0.000 0.500

Summary:
magnetization	0.22	μB/f.u.

---

The structure with the greatest stability is 1.

---

1:
# Tl2Sb2I

A geometry-optimized Tl2Sb2I structure (PBE-GGA, Alexandria via LeMat-Bulk).

Lattice parameters (Å, degrees): 10.340 10.340 10.340 156.00 156.00 34.19
Sites, in units of the cell vectors:
Tl: 0.101 0.101 0.000
Tl: 0.899 0.899 0.000
Sb: 0.250 0.750 0.500
Sb: 0.750 0.250 0.500
I: 0.500 0.500 0.000

Summary:
magnetization	0.00	μB/f.u.

---

2:
# Tl2Sb2I

A geometry-optimized Tl2Sb2I structure (PBE-GGA, Alexandria via LeMat-Bulk).

Lattice parameters (Å, degrees): 8.952 8.952 4.540 90.00 90.00 90.00
Sites, in units of the cell vectors:
Tl: 0.185 0.315 0.000
Tl: 0.315 0.815 0.000
Tl: 0.685 0.185 0.000
Tl: 0.815 0.685 0.000
Sb: 0.107 0.607 0.500
Sb: 0.393 0.107 0.500
Sb: 0.607 0.893 0.500
Sb: 0.893 0.393 0.500
I: 0.000 0.000 0.500
I: 0.500 0.500 0.500

Summary:
magnetization	0.00	μB/f.u.

---

The structure with the greatest stability is 1.

---

1:
# Tl2Sb2I

A geometry-optimized Tl2Sb2I structure (PBE-GGA, Alexandria via LeMat-Bulk).

Lattice parameters (Å, degrees): 6.565 6.565 6.565 127.82 127.82 76.91
Sites, in units of the cell vectors:
Tl: 0.250 0.750 0.500
Tl: 0.750 0.250 0.500
Sb: 0.137 0.137 0.000
Sb: 0.863 0.863 0.000
I: 0.500 0.500 0.000

Summary:
magnetization	0.00	μB/f.u.

---

2:
# Tl2Sb2I

A geometry-optimized Tl2Sb2I structure (PBE-GGA, Alexandria via LeMat-Bulk).

Lattice parameters (Å, degrees): 10.413 10.413 3.295 90.00 90.00 90.00
Sites, in units of the cell vectors:
Tl: 0.188 0.312 0.000
Tl: 0.312 0.812 0.000
Tl: 0.688 0.188 0.000
Tl: 0.812 0.688 0.000
Sb: 0.096 0.596 0.500
Sb: 0.404 0.096 0.500
Sb: 0.596 0.904 0.500
Sb: 0.904 0.404 0.500
I: 0.000 0.000 0.000
I: 0.500 0.500 0.000

Summary:
magnetization	0.00	μB/f.u.

---

The structure with the greatest stability is 1.

---

1:
# TlSbI4

A geometry-optimized TlSbI4 structure (PBE-GGA, Alexandria via LeMat-Bulk).

Lattice parameters (Å, degrees): 10.432 10.432 7.942 105.51 105.51 123.67
Sites, in units of the cell vectors:
Tl: 0.078 0.922 0.750
Tl: 0.922 0.078 0.250
Sb: 0.424 0.576 0.250
Sb: 0.576 0.424 0.750
I: 0.116 0.484 0.264
I: 0.216 0.332 0.781
I: 0.332 0.216 0.281
I: 0.484 0.116 0.764
I: 0.516 0.884 0.236
I: 0.668 0.784 0.719
I: 0.784 0.668 0.219
I: 0.884 0.516 0.736

Summary:
magnetization	0.00	μB/f.u.

---

2:
# TlSbI4

A geometry-optimized TlSbI4 structure (PBE-GGA, Alexandria via LeMat-Bulk).

Lattice parameters (Å, degrees): 7.728 7.728 8.743 101.31 101.31 33.85
Sites, in units of the cell vectors:
Tl: 0.000 0.000 0.000
Sb: 0.500 0.500 0.500
I: 0.122 0.122 0.404
I: 0.373 0.373 0.181
I: 0.627 0.627 0.819
I: 0.878 0.878 0.596

Summary:
magnetization	0.00	μB/f.u.

---

The structure with the greatest stability is 1.